No. 1
{
  "formula": "Li2TlRu",
  "functional": "PBE",
  "state": "optimized geometry",
  "spacegroup": "No. 25",
  "lattice_angstrom": [[2.830, 0.000, 0.000], [0.000, 4.202, 0.000], [0.000, 0.000, 5.652]],
  "species": ["Li", "Li", "Tl", "Ru"],
  "frac_coords": [[0.000, 0.000, 0.000], [0.500, 0.500, 0.252], [0.500, 0.500, 0.733], [0.000, 0.000, 0.479]]
}

---

No. 2
{
  "formula": "CaIrW2",
  "functional": "PBE",
  "state": "optimized geometry",
  "relative_energy_mev_per_atom": 212,
  "spacegroup": "No. 12",
  "lattice_angstrom": [[2.718, -4.767, 0.000], [2.718, 4.767, 0.000], [-0.851, 0.000, 2.651]],
  "species": ["Ca", "Ir", "W", "W"],
  "frac_coords": [[0.000, 0.000, 0.000], [0.500, 0.500, 0.000], [0.000, 0.500, 0.500], [0.500, 0.000, 0.500]]
}

---

No. 3
{
  "formula": "HoPu2Ga",
  "functional": "PBE",
  "state": "optimized geometry",
  "relative_energy_mev_per_atom": 248,
  "spacegroup": "No. 225",
  "lattice_angstrom": [[0.000, 3.692, 3.692], [3.692, 0.000, 3.692], [3.692, 3.692, 0.000]],
  "species": ["Ho", "Pu", "Pu", "Ga"],
  "frac_coords": [[0.000, 0.000, 0.000], [0.250, 0.250, 0.250], [0.750, 0.750, 0.750], [0.500, 0.500, 0.500]]
}

---

No. 4
{
  "formula": "Li3GaPt2",
  "functional": "PBE",
  "state": "optimized geometry",
  "spacegroup": "No. 15",
  "lattice_angstrom": [[2.855, -2.848, 0.000], [2.855, 2.848, 0.000], [-2.855, 0.000, 10.339]],
  "species": ["Li", "Li", "Li", "Li", "Li", "Li", "Ga", "Ga", "Pt", "Pt", "Pt", "Pt"],
  "frac_coords": [[0.039, 0.290, 0.580], [0.125, 0.875, 0.750], [0.290, 0.039, 0.080], [0.710, 0.961, 0.920], [0.875, 0.125, 0.250], [0.961, 0.710, 0.420], [0.377, 0.623, 0.250], [0.623, 0.377, 0.750], [0.202, 0.453, 0.907], [0.453, 0.202, 0.407], [0.547, 0.798, 0.593], [0.798, 0.547, 0.093]]
}

---

No. 5
{
  "formula": "Sr3Cd7Pd4",
  "functional": "PBE",
  "state": "optimized geometry",
  "spacegroup": "No. 12",
  "lattice_angstrom": [[8.427, -2.317, 0.000], [8.427, 2.317, 0.000], [-5.867, 0.000, 8.586]],
  "species": ["Sr", "Sr", "Sr", "Cd", "Cd", "Cd", "Cd", "Cd", "Cd", "Cd", "Pd", "Pd", "Pd", "Pd"],
  "frac_coords": [[0.000, 0.000, 0.000], [0.306, 0.306, 0.298], [0.694, 0.694, 0.702], [0.000, 0.000, 0.500], [0.157, 0.157, 0.422], [0.318, 0.318, 0.979], [0.492, 0.492, 0.710], [0.508, 0.508, 0.290], [0.682, 0.682, 0.021], [0.843, 0.843, 0.578], [0.113, 0.113, 0.826], [0.332, 0.332, 0.723], [0.668, 0.668, 0.277], [0.887, 0.887, 0.174]]
}

---

No. 6
{
  "formula": "K2LiMn",
  "functional": "PBE",
  "state": "optimized geometry",
  "relative_energy_mev_per_atom": 161,
  "spacegroup": "No. 225",
  "lattice_angstrom": [[0.000, 4.317, 4.317], [4.317, 0.000, 4.317], [4.317, 4.317, 0.000]],
  "species": ["K", "K", "Li", "Mn"],
  "frac_coords": [[0.250, 0.250, 0.250], [0.750, 0.750, 0.750], [0.000, 0.000, 0.000], [0.500, 0.500, 0.500]]
}

---

| no. | energy of formation (eV per formula unit) | magnetic moment (μB per cell) | N(E_F) (states/eV/f.u.) |
| --- | --- | --- | --- |
| 1 | 0.842 | 0.000 | 2.3 |
| 2 | 2.021 | 0.000 | 3.3 |
| 3 | 0.309 | 12.216 | 12.3 |
| 4 | -4.001 | 0.000 | 1.6 |
| 5 | -6.511 | 0.000 | 5.7 |
| 6 | 2.783 | 4.402 | 5.3 |